1.
LiYPO2 | PBE | optimized geometry

Calculated values
Calculated volume, Å³/cell: 64.1
Electronic total energy, eV/atom: -5.628
M_tot, μB/f.u.: 0.00

a = 3.972 Å, b = 3.972 Å, c = 4.063 Å
α = 90.00°, β = 90.00°, γ = 90.00°
Space group P4/mmm (No. 123)
Inequivalent atoms, fractional coordinates:
Li: 0.000 0.000 0.000 (multiplicity 1)
Y: 0.500 0.500 0.500 (multiplicity 1)
P: 0.000 0.000 0.500 (multiplicity 1)
O: 0.000 0.500 0.000 (multiplicity 2)



2.
Li2YPO | PBE | optimized geometry

Calculated values
Calculated volume, Å³/cell: 73.2
Electronic total energy, eV/atom: -5.876
M_tot, μB/f.u.: 0.00

a = 3.996 Å, b = 3.996 Å, c = 4.586 Å
α = 90.00°, β = 90.00°, γ = 90.00°
Space group P4/mmm (No. 123)
Inequivalent atoms, fractional coordinates:
Li: 0.000 0.500 0.000 (multiplicity 2)
Y: 0.000 0.000 0.500 (multiplicity 1)
P: 0.500 0.500 0.500 (multiplicity 1)
O: 0.000 0.000 0.000 (multiplicity 1)